# 1
## MnCu2Rh (GGA-PBE)

Data for MnCu2Rh after structural relaxation.

Summary:
- E: -24.513 eV/f.u.
- Crystal system: orthorhombic
- DOS at the Fermi energy: 0.77 states/eV/atom
- Total magnetization: 4.5 μB/cell
- Formation energy from the elements: 0.050 eV/atom

Unit cell a=4.429 b=4.429 c=2.831 alpha=90.00 beta=90.00 gamma=107.64
Sites, in units of the cell vectors:
Mn: 0.000 0.000 0.000
Cu: 0.000 0.500 0.500
Cu: 0.500 0.000 0.500
Rh: 0.500 0.500 0.000



# 2
## MnCu2Rh2 (GGA-PBE)

Data for MnCu2Rh2 after structural relaxation.

Summary:
- E: -29.705 eV/f.u.
- Crystal system: tetragonal
- DOS at the Fermi energy: 1.73 states/eV/atom
- Total magnetization: 0.4 μB/cell
- Formation energy from the elements: 0.472 eV/atom
- Excess energy over the best structure of this formula in the dataset: 0.452 eV/atom

Unit cell a=6.868 b=6.868 c=2.835 alpha=90.00 beta=90.00 gamma=90.00
Sites, in units of the cell vectors:
Mn: 0.000 0.000 0.000
Mn: 0.500 0.500 0.000
Cu: 0.126 0.374 0.000
Cu: 0.374 0.874 0.000
Cu: 0.626 0.126 0.000
Cu: 0.874 0.626 0.000
Rh: 0.174 0.674 0.500
Rh: 0.326 0.174 0.500
Rh: 0.674 0.826 0.500
Rh: 0.826 0.326 0.500



# 3
## Mn5CuRh6 (GGA-PBE)

Data for Mn5CuRh6 after structural relaxation.

Summary:
- E: -95.639 eV/f.u.
- Crystal system: orthorhombic
- DOS at the Fermi energy: 1.26 states/eV/atom
- Total magnetization: 19.5 μB/cell
- Formation energy from the elements: -0.132 eV/atom

Unit cell a=7.409 b=7.409 c=7.409 alpha=146.52 beta=131.76 gamma=60.00
Sites, in units of the cell vectors:
Mn: 0.000 0.000 0.000
Mn: 0.167 0.667 0.500
Mn: 0.338 0.338 0.000
Mn: 0.662 0.662 0.000
Mn: 0.833 0.333 0.500
Cu: 0.500 0.000 0.500
Rh: 0.080 0.832 0.248
Rh: 0.244 0.500 0.744
Rh: 0.417 0.168 0.248
Rh: 0.583 0.832 0.752
Rh: 0.756 0.500 0.256
Rh: 0.920 0.168 0.752



# 4
## MnCu2Rh (GGA-PBE)

Data for MnCu2Rh after structural relaxation.

Summary:
- E: -24.678 eV/f.u.
- Crystal system: cubic
- DOS at the Fermi energy: 0.39 states/eV/atom
- Total magnetization: 4.2 μB/cell
- Formation energy from the elements: 0.009 eV/atom

Unit cell a=4.214 b=4.214 c=4.214 alpha=60.00 beta=60.00 gamma=60.00
Sites, in units of the cell vectors:
Mn: 0.000 0.000 0.000
Cu: 0.500 0.500 0.500
Cu: 0.750 0.750 0.750
Rh: 0.250 0.250 0.250



# 5
## MnCuRh2 (GGA-PBE)

Data for MnCuRh2 after structural relaxation.

Summary:
- E: -27.849 eV/f.u.
- Crystal system: orthorhombic
- DOS at the Fermi energy: 1.26 states/eV/atom
- Total magnetization: 3.6 μB/cell
- Formation energy from the elements: 0.030 eV/atom

Unit cell a=5.037 b=5.037 c=5.037 alpha=145.73 beta=129.96 gamma=62.05
Sites, in units of the cell vectors:
Mn: 0.000 0.000 0.000
Cu: 0.760 0.260 0.500
Rh: 0.244 0.744 0.500
Rh: 0.507 0.507 0.000



# 6
## Mn2Cu2Rh (GGA-PBE)

Data for Mn2Cu2Rh after structural relaxation.

Summary:
- E: -31.127 eV/f.u.
- Crystal system: tetragonal
- DOS at the Fermi energy: 1.36 states/eV/atom
- Total magnetization: 0.0 μB/cell
- Formation energy from the elements: 0.551 eV/atom
- Excess energy over the best structure of this formula in the dataset: 0.246 eV/atom

Unit cell a=6.818 b=6.818 c=6.818 alpha=153.16 beta=153.16 gamma=38.32
Sites, in units of the cell vectors:
Mn: 0.250 0.750 0.500
Mn: 0.750 0.250 0.500
Cu: 0.101 0.101 0.000
Cu: 0.899 0.899 0.000
Rh: 0.500 0.500 0.000



# 7
## MnCuRh2 (GGA-PBE)

Data for MnCuRh2 after structural relaxation.

Summary:
- E: -27.166 eV/f.u.
- Crystal system: orthorhombic
- DOS at the Fermi energy: 1.41 states/eV/atom
- Total magnetization: 3.3 μB/cell
- Formation energy from the elements: 0.201 eV/atom

Unit cell a=2.672 b=2.672 c=8.722 alpha=90.00 beta=90.00 gamma=116.79
Sites, in units of the cell vectors:
Mn: 0.000 0.000 0.000
Cu: 0.500 0.500 0.759
Rh: 0.000 0.000 0.508
Rh: 0.500 0.500 0.240



# 8
## MnCuRh2 (GGA-PBE)

Data for MnCuRh2 after structural relaxation.

Summary:
- E: -27.764 eV/f.u.
- Crystal system: orthorhombic
- DOS at the Fermi energy: 1.00 states/eV/atom
- Total magnetization: 3.8 μB/cell
- Formation energy from the elements: 0.051 eV/atom

Unit cell a=5.094 b=5.094 c=5.094 alpha=147.75 beta=127.34 gamma=63.11
Sites, in units of the cell vectors:
Mn: 0.000 0.000 0.000
Cu: 0.500 0.500 0.000
Rh: 0.238 0.738 0.500
Rh: 0.762 0.262 0.500



# 9
## MnCu2Rh (GGA-PBE)

Data for MnCu2Rh after structural relaxation.

Summary:
- E: -24.614 eV/f.u.
- Crystal system: monoclinic
- DOS at the Fermi energy: 0.64 states/eV/atom
- Total magnetization: 4.0 μB/cell
- Formation energy from the elements: 0.025 eV/atom

Unit cell a=4.562 b=4.562 c=4.402 alpha=104.33 beta=104.33 gamma=36.58
Sites, in units of the cell vectors:
Mn: 0.000 0.000 0.000
Cu: 0.493 0.493 0.489
Cu: 0.750 0.750 0.271
Rh: 0.248 0.248 0.766



# 10
## MnCu2Rh (GGA-PBE)

Data for MnCu2Rh after structural relaxation.

Summary:
- E: -24.337 eV/f.u.
- Crystal system: monoclinic
- DOS at the Fermi energy: 0.66 states/eV/atom
- Total magnetization: 4.1 μB/cell
- Formation energy from the elements: 0.094 eV/atom

Unit cell a=2.649 b=4.379 c=4.603 alpha=90.00 beta=95.70 gamma=90.00
Sites, in units of the cell vectors:
Mn: 0.000 0.000 0.000
Cu: 0.232 0.500 0.752
Cu: 0.768 0.500 0.248
Rh: 0.500 0.000 0.500



# 11
## MnCu2Rh (GGA-PBE)

Data for MnCu2Rh after structural relaxation.

Summary:
- E: -21.802 eV/f.u.
- Crystal system: tetragonal
- DOS at the Fermi energy: 1.89 states/eV/atom
- Total magnetization: 0.1 μB/cell
- Formation energy from the elements: 0.728 eV/atom

Unit cell a=5.322 b=5.322 c=5.322 alpha=101.70 beta=101.70 gamma=126.48
Sites, in units of the cell vectors:
Mn: 0.000 0.000 0.000
Mn: 0.750 0.250 0.500
Cu: 0.109 0.125 0.484
Cu: 0.375 0.891 0.016
Cu: 0.641 0.625 0.516
Cu: 0.875 0.359 0.984
Rh: 0.250 0.750 0.500
Rh: 0.500 0.500 0.000



# 12
## MnCuRh2 (GGA-PBE)

Data for MnCuRh2 after structural relaxation.

Summary:
- E: -26.185 eV/f.u.
- Crystal system: orthorhombic
- DOS at the Fermi energy: 1.14 states/eV/atom
- Total magnetization: 2.8 μB/cell
- Formation energy from the elements: 0.446 eV/atom

Unit cell a=5.733 b=5.733 c=5.733 alpha=153.12 beta=134.94 gamma=53.25
Sites, in units of the cell vectors:
Mn: 0.000 0.000 0.000
Cu: 0.500 0.500 0.000
Rh: 0.226 0.226 0.000
Rh: 0.774 0.774 0.000



# 13
## MnCuRh2 (GGA-PBE)

Data for MnCuRh2 after structural relaxation.

Summary:
- E: -27.784 eV/f.u.
- Crystal system: monoclinic
- DOS at the Fermi energy: 1.19 states/eV/atom
- Total magnetization: 3.3 μB/cell
- Formation energy from the elements: 0.046 eV/atom

Unit cell a=2.714 b=4.075 c=5.089 alpha=90.00 beta=105.40 gamma=90.00
Sites, in units of the cell vectors:
Mn: 0.000 0.000 0.000
Cu: 0.853 0.500 0.720
Rh: 0.254 0.000 0.516
Rh: 0.598 0.500 0.201



# 14
## MnCu2Rh (GGA-PBE)

Data for MnCu2Rh after structural relaxation.

Summary:
- E: -24.053 eV/f.u.
- Crystal system: trigonal
- DOS at the Fermi energy: 1.15 states/eV/atom
- Total magnetization: 4.0 μB/cell
- Formation energy from the elements: 0.165 eV/atom

Unit cell a=8.657 b=8.657 c=8.657 alpha=17.77 beta=17.77 gamma=17.77
Sites, in units of the cell vectors:
Mn: 0.000 0.000 0.000
Cu: 0.252 0.252 0.252
Cu: 0.748 0.748 0.748
Rh: 0.500 0.500 0.500



# 15
## MnCu2Rh (GGA-PBE)

Data for MnCu2Rh after structural relaxation.

Summary:
- E: -24.855 eV/f.u.
- Crystal system: tetragonal
- DOS at the Fermi energy: 0.66 states/eV/atom
- Total magnetization: 3.9 μB/cell
- Formation energy from the elements: -0.035 eV/atom

Unit cell a=4.524 b=4.524 c=4.524 alpha=130.53 beta=130.53 gamma=72.57
Sites, in units of the cell vectors:
Mn: 0.000 0.000 0.000
Cu: 0.500 0.500 0.000
Cu: 0.750 0.250 0.500
Rh: 0.250 0.750 0.500



# 16
## MnCu2Rh (GGA-PBE)

Data for MnCu2Rh after structural relaxation.

Summary:
- E: -23.262 eV/f.u.
- Crystal system: cubic
- DOS at the Fermi energy: 1.54 states/eV/atom
- Total magnetization: 0.0 μB/cell
- Formation energy from the elements: 0.363 eV/atom

Unit cell a=4.120 b=4.120 c=4.120 alpha=60.00 beta=60.00 gamma=60.00
Sites, in units of the cell vectors:
Mn: 0.000 0.000 0.000
Cu: 0.250 0.250 0.250
Cu: 0.750 0.750 0.750
Rh: 0.500 0.500 0.500



# 17
## MnCuRh2 (GGA-PBE)

Data for MnCuRh2 after structural relaxation.

Summary:
- E: -28.209 eV/f.u.
- Crystal system: tetragonal
- DOS at the Fermi energy: 0.77 states/eV/atom
- Total magnetization: 2.5 μB/cell
- Formation energy from the elements: -0.060 eV/atom

Unit cell a=4.467 b=4.467 c=4.467 alpha=128.34 beta=128.34 gamma=76.08
Sites, in units of the cell vectors:
Mn: 0.000 0.000 0.000
Cu: 0.500 0.500 0.000
Rh: 0.250 0.750 0.500
Rh: 0.750 0.250 0.500



# 18
## MnCuRh2 (GGA-PBE)

Data for MnCuRh2 after structural relaxation.

Summary:
- E: -27.511 eV/f.u.
- Crystal system: cubic
- DOS at the Fermi energy: 1.35 states/eV/atom
- Total magnetization: 5.2 μB/cell
- Formation energy from the elements: 0.114 eV/atom

Unit cell a=4.303 b=4.303 c=4.303 alpha=60.00 beta=60.00 gamma=60.00
Sites, in units of the cell vectors:
Mn: 0.000 0.000 0.000
Cu: 0.250 0.250 0.250
Rh: 0.500 0.500 0.500
Rh: 0.750 0.750 0.750



# 19
## MnCuRh2 (GGA-PBE)

Data for MnCuRh2 after structural relaxation.

Summary:
- E: -27.524 eV/f.u.
- Crystal system: trigonal
- DOS at the Fermi energy: 1.48 states/eV/atom
- Total magnetization: 2.6 μB/cell
- Formation energy from the elements: 0.111 eV/atom

Unit cell a=8.659 b=8.659 c=8.659 alpha=18.10 beta=18.10 gamma=18.10
Sites, in units of the cell vectors:
Mn: 0.000 0.000 0.000
Cu: 0.253 0.253 0.253
Rh: 0.502 0.502 0.502
Rh: 0.748 0.748 0.748



# 20
## MnCuRh2 (GGA-PBE)

Data for MnCuRh2 after structural relaxation.

Summary:
- E: -27.670 eV/f.u.
- Crystal system: orthorhombic
- DOS at the Fermi energy: 0.94 states/eV/atom
- Total magnetization: 3.9 μB/cell
- Formation energy from the elements: 0.075 eV/atom

Unit cell a=2.688 b=2.688 c=8.477 alpha=90.00 beta=90.00 gamma=115.23
Sites, in units of the cell vectors:
Mn: 0.000 0.000 0.000
Cu: 0.000 0.000 0.500
Rh: 0.500 0.500 0.243
Rh: 0.500 0.500 0.757